Here is a geometry-optimized La2IrAu structure from Alexandria. Energies are from PBE.

Properties
magnetic moment	0.00	μB/f.u.
calculated formation energy	-690	meV per atom
volume	24.94	Å³/atom
SG	P4/mmm (123)
VASP energy	-6.19	eV/atom

Lattice parameters (Å, degrees): 8.2140 5.1789 3.7195 90.03 63.04 129.07
Last column: nearest neighbours and their distance in Å.
Fractional positions:
1 Ir 0.5000 0.5000 0.0000  8 La 3.19
2 La 0.0000 0.0000 0.0000  4 Au 3.19, 4 Ir 3.19
3 La 0.5000 0.0000 0.5000  4 Ir 3.19, 4 Au 3.19
4 Au 0.0000 0.5000 0.5000  8 La 3.19